Model i:
Entry from Alexandria via LeMat-Bulk: a relaxed Re3PbSe crystal (PBE).

Calculated values
As for the total moment: 2.464 μB/f.u.

abc: 4.649 4.649 4.649
angles: 90.00 90.00 90.00
Space group Pm-3m (No. 221)
Inequivalent atoms, fractional coordinates:
Re  0.000  0.000  0.500 [3 per cell]
Pb  0.500  0.500  0.500 [1 per cell]
Se  0.000  0.000  0.000 [1 per cell]



Model ii:
Entry from Alexandria via LeMat-Bulk: a relaxed Re3PbSe crystal (PBE).

Calculated values
As for the total moment: 2.492 μB/f.u.

abc: 4.995 4.995 4.995
angles: 90.00 90.00 90.00
Space group Pm-3m (No. 221)
Inequivalent atoms, fractional coordinates:
Re  0.000  0.000  0.500 [3 per cell]
Pb  0.000  0.000  0.000 [1 per cell]
Se  0.500  0.500  0.500 [1 per cell]



How far above the most stable structure does each one sit? In meV per atom: model i 0; model ii 1678.